[1]
Ba2Na2Sr: relaxed, PBEsol.

a = 4.930 Å, b = 10.066 Å, c = 10.066 Å
α = 90.00°, β = 90.00°, γ = 90.00°
Element x y z (fractional)
1 Sr 0.000 0.500 0.500
2 Ba 0.500 0.175 0.675
3 Na 0.000 0.623 0.123
4 Ba 0.500 0.325 0.175
5 Na 0.000 0.377 0.877
6 Na 0.000 0.123 0.377
7 Sr 0.000 0.000 0.000
8 Ba 0.500 0.675 0.825
9 Ba 0.500 0.825 0.325
10 Na 0.000 0.877 0.623

- ΔE_f (eV per atom) = 0.023
- size of the total moment (μB/cell) = 0.000
- space-group type = P4/mbm



[2]
La2CuOs: relaxed, PBEsol.

a = 4.008 Å, b = 4.363 Å, c = 5.658 Å
α = 90.00°, β = 110.74°, γ = 90.00°
Element x y z (fractional)
1 Cu 0.679 0.500 0.358
2 Os 0.820 0.000 0.640
3 La 0.108 0.000 0.216
4 La 0.386 0.500 0.772

- ΔE_f (eV per atom) = -0.051
- size of the total moment (μB/cell) = 0.000
- space-group type = Amm2



[3]
LiW2Se: relaxed, PBEsol.

a = 3.200 Å, b = 3.426 Å, c = 6.048 Å
α = 106.41°, β = 90.00°, γ = 90.00°
Element x y z (fractional)
1 Se 0.500 0.028 0.682
2 W 0.000 0.204 0.033
3 Li 0.000 0.458 0.540
4 W 0.500 0.810 0.245

- size of the total moment (μB/cell) = 0.000
- space-group type = Amm2
- VASP energy (eV/atom) = -8.2706